Record 1
Computed, not measured: crystalline Be2Nb2Fe5W at its relaxed geometry at the PBE level of DFT.

## Properties
Total magnetization   0.00 μB/cell
SG   P4/mbm
Energy of formation from the pure elements   -1.54 eV per formula unit
D(E_F)   10.399 states/eV/cell

Unit cell a=3.023 b=8.836 c=8.836 alpha=90.00 beta=90.00 gamma=90.00
Fractional coordinates of all 20 atoms:
Be1 0.000 0.120 0.620
Be2 0.000 0.880 0.380
Be3 0.000 0.620 0.880
Be4 0.000 0.380 0.120
Nb1 0.000 0.674 0.174
Nb2 0.000 0.326 0.826
Nb3 0.000 0.174 0.326
Nb4 0.000 0.826 0.674
Fe1 0.500 0.212 0.069
Fe2 0.500 0.788 0.931
Fe3 0.500 0.069 0.788
Fe4 0.500 0.712 0.431
Fe5 0.500 0.931 0.212
Fe6 0.500 0.288 0.569
Fe7 0.500 0.569 0.712
Fe8 0.500 0.431 0.288
Fe9 0.500 0.500 0.000
Fe10 0.500 0.000 0.500
W1 0.000 0.000 0.000
W2 0.000 0.500 0.500

=====

Record 2
Computed, not measured: crystalline Be2Nb2ZnFe5 at its relaxed geometry at the PBE level of DFT.

## Properties
Total magnetization   10.74 μB/cell
SG   P4/mbm
Energy of formation from the pure elements   -0.93 eV per formula unit
D(E_F)   13.800 states/eV/cell

Unit cell a=3.243 b=8.544 c=8.544 alpha=90.00 beta=90.00 gamma=90.00
Fractional coordinates of all 20 atoms:
Be1 0.000 0.119 0.619
Be2 0.000 0.881 0.381
Be3 0.000 0.619 0.881
Be4 0.000 0.381 0.119
Nb1 0.000 0.676 0.176
Nb2 0.000 0.324 0.824
Nb3 0.000 0.176 0.324
Nb4 0.000 0.824 0.676
Zn1 0.000 0.000 0.000
Zn2 0.000 0.500 0.500
Fe1 0.500 0.214 0.067
Fe2 0.500 0.786 0.933
Fe3 0.500 0.067 0.786
Fe4 0.500 0.714 0.433
Fe5 0.500 0.933 0.214
Fe6 0.500 0.286 0.567
Fe7 0.500 0.567 0.714
Fe8 0.500 0.433 0.286
Fe9 0.500 0.500 0.000
Fe10 0.500 0.000 0.500

=====

Record-wise total energy values, in eV/cell: -168.8, -144.2